# LiSm2Pb3S6

A geometry-optimized LiSm2Pb3S6 structure (PBE, Alexandria via LeMat-Bulk).

a = 18.132 Å, b = 4.194 Å, c = 8.234 Å
α = 90.00°, β = 105.94°, γ = 90.00°
Space group C2/m (No. 12)
One atom of each set of equivalent atoms:
Li 0.000 0.000 0.000 x2
Sm 0.163 0.500 0.325 x4
Pb 0.000 0.000 0.500 x2
Pb 0.159 0.500 0.851 x4
S 0.006 0.500 0.239 x4
S 0.161 0.000 0.090 x4
S 0.173 0.000 0.566 x4

Results
total DFT energy (no corrections) = -121.8 eV for the cell shown
magnetization = 0.0 μB per cell
crystal system = monoclinic
E_form (uncorrected) = -1.14 eV/atom



# LiSmPb2S4

A geometry-optimized LiSmPb2S4 structure (PBE, Alexandria via LeMat-Bulk).

a = 6.978 Å, b = 4.109 Å, c = 7.191 Å
α = 90.00°, β = 108.68°, γ = 90.00°
Space group P2/m (No. 10)
One atom of each set of equivalent atoms:
Li 0.000 0.000 0.000 x1
Sm 0.500 0.500 0.000 x1
Pb 0.000 0.500 0.500 x1
Pb 0.500 0.000 0.500 x1
S 0.245 0.500 0.230 x2
S 0.255 0.000 0.773 x2

Results
total DFT energy (no corrections) = -39.6 eV for the cell shown
magnetization = 0.0 μB per cell
crystal system = monoclinic
E_form (uncorrected) = -1.13 eV/atom



# LiSm2PbS4

A geometry-optimized LiSm2PbS4 structure (PBE, Alexandria via LeMat-Bulk).

a = 8.120 Å, b = 8.171 Å, c = 11.448 Å
α = 90.00°, β = 90.00°, γ = 90.00°
Space group Imma (No. 74)
One atom of each set of equivalent atoms:
Li 0.000 0.000 0.000 x4
Sm 0.000 0.000 0.500 x4
Sm 0.250 0.250 0.250 x4
Pb 0.250 0.250 0.750 x4
S 0.000 0.011 0.248 x8
S 0.248 0.250 0.494 x8

Results
total DFT energy (no corrections) = -173.5 eV for the cell shown
magnetization = 0.0 μB per cell
crystal system = orthorhombic
E_form (uncorrected) = -1.48 eV/atom



# LiSnPb2S4

A geometry-optimized LiSnPb2S4 structure (PBE, Alexandria via LeMat-Bulk).

a = 6.943 Å, b = 4.066 Å, c = 6.964 Å
α = 90.00°, β = 108.08°, γ = 90.00°
Space group P2/m (No. 10)
One atom of each set of equivalent atoms:
Li 0.000 0.000 0.000 x1
Sn 0.500 0.500 0.000 x1
Pb 0.000 0.500 0.500 x1
Pb 0.500 0.000 0.500 x1
S 0.243 0.500 0.225 x2
S 0.250 0.000 0.776 x2

Results
total DFT energy (no corrections) = -34.6 eV for the cell shown
magnetization = 0.0 μB per cell
crystal system = monoclinic
E_form (uncorrected) = -0.59 eV/atom



# LiSnPbS3

A geometry-optimized LiSnPbS3 structure (PBE, Alexandria via LeMat-Bulk).

a = 8.335 Å, b = 3.917 Å, c = 8.572 Å
α = 90.00°, β = 103.50°, γ = 90.00°
Space group P2_1/m (No. 11)
One atom of each set of equivalent atoms:
Li 0.083 0.250 0.089 x2
Sn 0.328 0.750 0.340 x2
Pb 0.199 0.250 0.742 x2
S 0.114 0.250 0.374 x2
S 0.217 0.750 0.017 x2
S 0.441 0.750 0.671 x2

Results
total DFT energy (no corrections) = -51.2 eV for the cell shown
magnetization = 0.0 μB per cell
crystal system = monoclinic
E_form (uncorrected) = -0.60 eV/atom



# Sr2LiPbS

A geometry-optimized Sr2LiPbS structure (PBE, Alexandria via LeMat-Bulk).

a = 5.888 Å, b = 5.888 Å, c = 4.469 Å
α = 90.00°, β = 90.00°, γ = 90.00°
Space group P4/mmm (No. 123)
One atom of each set of equivalent atoms:
Sr 0.000 0.500 0.000 x2
Li 0.000 0.000 0.500 x1
Pb 0.500 0.500 0.500 x1
S 0.000 0.000 0.000 x1

Results
total DFT energy (no corrections) = -18.2 eV for the cell shown
magnetization = 0.0 μB per cell
crystal system = tetragonal
E_form (uncorrected) = -1.03 eV/atom



# LiTaPb2S5

A geometry-optimized LiTaPb2S5 structure (PBE, Alexandria via LeMat-Bulk).

a = 3.722 Å, b = 17.005 Å, c = 13.218 Å
α = 90.00°, β = 90.00°, γ = 90.00°
Space group Cmc2_1 (No. 36)
One atom of each set of equivalent atoms:
Li 0.000 0.070 0.000 x4
Ta 0.000 0.273 0.569 x4
Pb 0.000 0.389 0.831 x4
Pb 0.000 0.417 0.190 x4
S 0.000 0.010 0.834 x4
S 0.000 0.134 0.535 x4
S 0.000 0.209 0.949 x4
S 0.000 0.245 0.200 x4
S 0.000 0.415 0.614 x4

Results
total DFT energy (no corrections) = -194.8 eV for the cell shown
magnetization = 0.0 μB per cell
crystal system = orthorhombic
E_form (uncorrected) = -0.76 eV/atom



# LiTaPbS4

A geometry-optimized LiTaPbS4 structure (PBE, Alexandria via LeMat-Bulk).

a = 7.135 Å, b = 7.082 Å, c = 8.124 Å
α = 90.00°, β = 110.49°, γ = 90.00°
Space group P2_1/m (No. 11)
One atom of each set of equivalent atoms:
Li 0.233 0.250 0.014 x2
Ta 0.226 0.750 0.173 x2
Pb 0.281 0.250 0.466 x2
S 0.001 0.250 0.692 x2
S 0.068 0.750 0.881 x2
S 0.444 0.006 0.256 x4

Results
total DFT energy (no corrections) = -79.7 eV for the cell shown
magnetization = 0.0 μB per cell
crystal system = monoclinic
E_form (uncorrected) = -0.84 eV/atom